Entry 1:
YReN3: optimized geometry, PBE-GGA.

a = 4.065 Å, b = 5.524 Å, c = 5.794 Å
α = 100.34°, β = 90.41°, γ = 85.14°
Positions (direct):
Y 0.439 0.877 0.330
Y 0.911 0.331 0.127
Re 0.311 0.415 0.635
Re 0.802 0.794 0.812
N 0.423 0.294 0.310
N 0.525 0.588 0.928
N 0.046 0.159 0.688
N 0.954 0.909 0.120
N 0.917 0.616 0.506
N 0.718 0.128 0.708

Calculated values
The density of states at the Fermi level is 0.45 states/eV/f.u. The calculation puts the volume at 12.75 A^3/atom. The value obtained for the uncorrected formation energy is -0.4431 eV/atom. Its density is 8.3 g cm⁻³. The total magnetization is 0.0 μB/f.u.

Entry 2:
YReN3: optimized geometry, PBE-GGA.

a = 4.814 Å, b = 4.814 Å, c = 4.814 Å
α = 84.97°, β = 84.97°, γ = 84.97°
Site moments in Bohr magnetons follow the coordinates.
Positions (direct):
Y 0.556 0.556 0.556  0.03
Re 0.885 0.885 0.885  0.51
N 0.664 0.106 0.664  0.02
N 0.106 0.664 0.664  0.02
N 0.664 0.664 0.106  0.05

Calculated values
The density of states at the Fermi level is 0.12 states/eV/f.u. The calculation puts the volume at 22.06 A^3/atom. The value obtained for the uncorrected formation energy is -0.0693 eV/atom. Its density is 4.8 g cm⁻³. The total magnetization is 1.0 μB/f.u.

Entry 3:
YReN3: optimized geometry, PBE-GGA.

a = 7.253 Å, b = 7.253 Å, c = 7.253 Å
α = 60.00°, β = 60.00°, γ = 60.00°
Positions (direct):
Y 0.125 0.125 0.125
Y 0.625 0.125 0.125
Y 0.125 0.625 0.125
Y 0.125 0.125 0.625
Re 0.625 0.625 0.625
Re 0.125 0.625 0.625
Re 0.625 0.125 0.625
Re 0.625 0.625 0.125
N 0.299 0.701 0.299
N 0.549 0.951 0.549
N 0.549 0.549 0.951
N 0.951 0.549 0.951
N 0.549 0.951 0.951
N 0.299 0.701 0.701
N 0.951 0.549 0.549
N 0.951 0.951 0.549
N 0.701 0.299 0.299
N 0.701 0.299 0.701
N 0.299 0.299 0.701
N 0.701 0.701 0.299

Calculated values
The density of states at the Fermi level is 2.54 states/eV/f.u. The calculation puts the volume at 13.49 A^3/atom. The value obtained for the uncorrected formation energy is -0.2035 eV/atom. Its density is 7.8 g cm⁻³. The total magnetization is 0.0 μB/f.u.

Entry 4:
YReN3: optimized geometry, PBE-GGA.

a = 5.634 Å, b = 7.726 Å, c = 5.406 Å
α = 90.00°, β = 90.00°, γ = 90.00°
Positions (direct):
Y 0.561 0.250 0.488
Y 0.939 0.750 0.988
Y 0.439 0.750 0.512
Y 0.061 0.250 0.012
Re 0.000 0.000 0.500
Re 0.500 0.500 0.000
Re 0.500 0.000 0.000
Re 0.000 0.500 0.500
N 0.203 0.956 0.800
N 0.297 0.456 0.300
N 0.297 0.044 0.300
N 0.797 0.456 0.200
N 0.797 0.044 0.200
N 0.703 0.544 0.700
N 0.703 0.956 0.700
N 0.203 0.544 0.800
N 0.483 0.250 0.919
N 0.017 0.750 0.419
N 0.517 0.750 0.081
N 0.983 0.250 0.581

Calculated values
The density of states at the Fermi level is 1.75 states/eV/f.u. The calculation puts the volume at 11.77 A^3/atom. The value obtained for the uncorrected formation energy is -0.6793 eV/atom. Its density is 9.0 g cm⁻³. The total magnetization is 0.0 μB/f.u.

Entry 5:
YReN2: optimized geometry, PBE-GGA.

a = 4.786 Å, b = 4.786 Å, c = 6.208 Å
α = 67.32°, β = 67.32°, γ = 90.00°
Positions (direct):
Y 0.500 0.500 0.000
Y 0.250 0.750 0.500
Re 0.000 0.000 0.000
Re 0.750 0.250 0.500
N 0.695 0.125 0.250
N 0.055 0.625 0.250
N 0.375 0.305 0.750
N 0.875 0.945 0.750

Calculated values
The density of states at the Fermi level is 0.89 states/eV/f.u. The calculation puts the volume at 14.90 A^3/atom. The value obtained for the uncorrected formation energy is -0.5310 eV/atom. Its density is 8.4 g cm⁻³. The energy above the most stable polymorph in this dataset is 0.0000 eV per atom. The total magnetization is 0.0 μB/f.u.

Entry 6:
YReN3: optimized geometry, PBE-GGA.

a = 10.461 Å, b = 7.424 Å, c = 7.424 Å
α = 98.14°, β = 128.94°, γ = 51.06°
Positions (direct):
Y 0.750 0.156 0.656
Y 0.250 0.844 0.344
Y 0.750 0.539 0.039
Y 0.250 0.461 0.961
Re 0.215 0.408 0.421
Re 0.285 0.921 0.908
Re 0.785 0.592 0.579
Re 0.715 0.079 0.092
N 0.337 0.444 0.344
N 0.163 0.844 0.944
N 0.663 0.556 0.656
N 0.837 0.156 0.056
N 0.159 0.215 0.292
N 0.341 0.792 0.715
N 0.841 0.785 0.708
N 0.659 0.208 0.285
N 0.412 0.257 0.776
N 0.088 0.276 0.757
N 0.588 0.743 0.224
N 0.912 0.724 0.243

Calculated values
The density of states at the Fermi level is 2.12 states/eV/f.u. The calculation puts the volume at 15.84 A^3/atom. The value obtained for the uncorrected formation energy is -0.6695 eV/atom. Its density is 6.7 g cm⁻³. The total magnetization is 0.0 μB/f.u.

Entry 7:
YReN3: optimized geometry, PBE-GGA.

a = 6.310 Å, b = 3.993 Å, c = 6.065 Å
α = 71.20°, β = 63.31°, γ = 81.08°
Positions (direct):
Y 0.961 0.558 0.695
Y 0.389 0.801 0.031
Re 0.494 0.396 0.538
Re 0.947 0.300 0.239
N 0.270 0.070 0.591
N 0.692 0.432 0.147
N 0.981 0.772 0.285
N 0.742 0.151 0.656
N 0.350 0.856 0.432
N 0.245 0.381 0.924

Calculated values
The density of states at the Fermi level is 0.00 states/eV/f.u. The calculation puts the volume at 12.93 A^3/atom. The value obtained for the uncorrected formation energy is -0.4894 eV/atom. Its density is 8.1 g cm⁻³. The total magnetization is 0.0 μB/f.u.

Entry 8:
YReN2: optimized geometry, PBE-GGA.

a = 6.423 Å, b = 6.423 Å, c = 6.423 Å
α = 31.20°, β = 31.20°, γ = 31.20°
Positions (direct):
Y 0.500 0.500 0.500
Re 0.000 0.000 0.000
N 0.899 0.899 0.899
N 0.101 0.101 0.101

Calculated values
The density of states at the Fermi level is 1.27 states/eV/f.u. The calculation puts the volume at 15.77 A^3/atom. The value obtained for the uncorrected formation energy is -0.3775 eV/atom. Its density is 8.0 g cm⁻³. The energy above the most stable polymorph in this dataset is 0.1535 eV per atom. The total magnetization is 0.0 μB/f.u.

Entry 9:
YReN3: optimized geometry, PBE-GGA.

a = 3.484 Å, b = 3.484 Å, c = 10.923 Å
α = 80.82°, β = 80.82°, γ = 90.00°
Positions (direct):
Y 0.000 0.000 0.000
Y 0.250 0.750 0.500
Re 0.632 0.132 0.736
Re 0.868 0.368 0.264
N 0.210 0.900 0.199
N 0.100 0.790 0.801
N 0.100 0.409 0.801
N 0.591 0.900 0.199
N 0.318 0.318 0.364
N 0.682 0.682 0.636

Calculated values
The density of states at the Fermi level is 1.97 states/eV/f.u. The calculation puts the volume at 12.91 A^3/atom. The value obtained for the uncorrected formation energy is -0.0693 eV/atom. Its density is 8.2 g cm⁻³. The total magnetization is 0.0 μB/f.u.

Entry 10:
YReN3: optimized geometry, PBE-GGA.

a = 5.495 Å, b = 5.307 Å, c = 4.777 Å
α = 93.98°, β = 108.33°, γ = 91.39°
Positions (direct):
Y 0.578 0.947 0.490
Y 0.832 0.521 0.070
Re 0.241 0.429 0.715
Re 0.158 0.933 0.865
N 0.926 0.670 0.620
N 0.494 0.778 0.893
N 0.333 0.391 0.382
N 0.130 0.884 0.218
N 0.931 0.208 0.734
N 0.431 0.336 0.177

Calculated values
The density of states at the Fermi level is 0.00 states/eV/f.u. The calculation puts the volume at 13.18 A^3/atom. The value obtained for the uncorrected formation energy is -0.4968 eV/atom. Its density is 8.0 g cm⁻³. The total magnetization is 0.0 μB/f.u.

Question: The lowest volume belongs to which entry?
Answer: number 4

Question: Among the records above, which one has the highest volume?
Answer: number 2

Question: The lowest volume belongs to which entry?
Answer: number 4